Entry from the Alexandria database: a geometry-optimized Sr2NiSe structure (GGA-PBE).

Lattice parameters (Å, degrees): 5.239 5.239 5.239 60.00 60.00 60.00
Sites, in units of the cell vectors:
Sr 0.000 0.000 0.000
Sr 0.250 0.250 0.250
Ni 0.500 0.500 0.500
Se 0.750 0.750 0.750

**Total moment**: 0.00 μB/f.u.
**SG**: No. 216
**Raw formation energy**: -0.093 eV per atom

=====

Entry from the Alexandria database: a geometry-optimized Ag2PRh structure (GGA-PBE).

Lattice parameters (Å, degrees): 6.730 6.730 6.730 154.79 147.93 41.22
Sites, in units of the cell vectors:
Ag 0.684 0.684 0.000
Rh 0.000 0.500 0.500
P 0.500 0.000 0.500
Ag 0.316 0.316 0.000

**Energy of formation**: 0.044 eV per atom
**Total moment**: 0.00 μB/f.u.
**SG**: No. 71

=====

Please write out number 2 again, unchanged.
Entry from the Alexandria database: a geometry-optimized Ag2PRh structure (GGA-PBE).

Lattice parameters (Å, degrees): 6.730 6.730 6.730 154.79 147.93 41.22
Sites, in units of the cell vectors:
Ag 0.684 0.684 0.000
Rh 0.000 0.500 0.500
P 0.500 0.000 0.500
Ag 0.316 0.316 0.000

**Energy of formation**: 0.044 eV per atom
**Total moment**: 0.00 μB/f.u.
**SG**: No. 71

=====

- What is the total moment in the second record?
  0.00 μB/f.u.